A crystal of Y2Mg relaxed with PBEsol, computed with SCAN.

- ΔE_f: -21 kJ/mol of formula units
- Fermi-level density of states: 3.6 states/eV per cell

The structure in extended XYZ format:
```
3
Lattice="-1.837 1.837 6.229 1.837 -1.837 6.229 1.837 1.837 -6.229" Properties=species:S:1:pos:R:3 pbc="T T T"
Y 0.000 0.000 1.951
Y 0.000 0.000 10.508
Mg 0.000 0.000 6.229
```


A crystal of ZrZn3I relaxed with PBEsol, computed with SCAN.

- ΔE to the lowest computed polymorph: 0 meV per atom
- Energy relative to the elements, uncorrected: 4.0 eV/f.u.
- Fermi-level density of states: 3.7 states/eV per cell

The structure in extended XYZ format:
```
5
Lattice="5.301 0.000 0.000 0.000 5.301 0.000 0.000 0.000 5.301" Properties=species:S:1:pos:R:3 pbc="T T T"
Zr 0.000 0.000 0.000
Zn 0.000 0.000 2.651
Zn 0.000 2.651 0.000
Zn 2.651 0.000 0.000
I 2.651 2.651 2.651
```


A crystal of CaBe2Si relaxed with PBEsol, computed with SCAN.

- Energy relative to the elements, uncorrected: 1.3 eV/f.u.
- Fermi-level density of states: 1.8 states/eV per cell

The structure in extended XYZ format:
```
4
Lattice="3.091 0.000 0.000 0.000 3.091 0.000 0.000 0.000 6.376" Properties=species:S:1:pos:R:3 pbc="T T T"
Ca 0.000 0.000 0.000
Be 1.546 1.546 2.087
Be 1.546 1.546 4.289
Si 0.000 0.000 3.188
```


For each record above, in turn, the calculated raw total energy values are -20.2928, -20.7914, -6.7649 eV per atom.
For each record above, in turn, the calculated total magnetic moment values are 0.28, 0.00, 0.00 μB per atom.